Below is a relaxed ZnCoO2 crystal, with properties calculated at the GGA+U level.

Values from the calculation:
crystal system = orthorhombic
density = 5896 kg/m³
total energy = -5.11 eV per atom

Cell lengths 5.5432, 3.0347, 10.4694 Å; angles 90.00, 90.00, 90.00 degrees
Atoms (fractional coordinates):
Co1 0.0812 0.7500 0.8866
O1 0.2667 0.2500 0.9977
O2 0.0551 0.7500 0.2140
O3 0.4449 0.2500 0.7140
Zn1 0.3947 0.7500 0.1201
Co2 0.4188 0.2500 0.3866
Co3 0.9188 0.2500 0.1134
Zn2 0.8947 0.7500 0.3799
O4 0.7333 0.7500 0.0023
Co4 0.5812 0.7500 0.6134
O5 0.7667 0.2500 0.5023
Zn3 0.1053 0.2500 0.6201
Zn4 0.6053 0.2500 0.8799
O6 0.2333 0.7500 0.4977
O7 0.5551 0.7500 0.2860
O8 0.9449 0.2500 0.7860